one:
## Ho3TmMg7 (PBE-GGA)

Data for a geometry-optimized Ho3TmMg7 structure.

```
Ho3TmMg7
1.0
1.6443 -11.2008 0.0000
1.6443 11.2008 0.0000
0.0000 0.0000 16.2829
Ho Tm Mg
6 2 14
Cartesian
1.6443 8.5591 8.6889 Ho
1.6443 8.5591 15.7355 Ho
1.6443 5.8589 4.0707 Ho
1.6443 -5.8589 12.2122 Ho
1.6443 -8.5591 0.5474 Ho
1.6443 -8.5591 7.5940 Ho
1.6443 10.8775 4.0707 Tm
1.6443 -10.8775 12.2122 Tm
1.6443 5.3275 9.3628 Mg
1.6443 5.3275 15.0615 Mg
1.6443 2.7936 10.7103 Mg
1.6443 2.7936 13.7141 Mg
1.6443 2.5642 4.0707 Mg
1.6443 0.1419 9.5191 Mg
1.6443 0.1419 14.9053 Mg
1.6443 -0.1419 1.3776 Mg
1.6443 -0.1419 6.7639 Mg
1.6443 -2.5642 12.2122 Mg
1.6443 -2.7936 2.5688 Mg
1.6443 -2.7936 5.5726 Mg
1.6443 -5.3275 1.2214 Mg
1.6443 -5.3275 6.9201 Mg
```

Values from the calculation:
Volume, Å³/atom: 27.26
Crystal system: orthorhombic

two:
## Ho3TmMg7 (PBE-GGA)

Data for a geometry-optimized Ho3TmMg7 structure.

```
Ho3TmMg7
1.0
5.3745 -5.1126 0.0000
5.3745 5.1126 0.0000
-1.9181 0.0000 5.6952
Ho Tm Mg
3 1 7
Cartesian
0.0000 0.0000 0.0000 Ho
4.4154 3.1335 2.8476 Ho
4.4154 -3.1335 2.8476 Ho
5.3745 0.0000 0.0000 Tm
1.7829 2.6053 4.6413 Mg
1.5410 0.0000 2.9829 Mg
7.0479 2.6053 1.0539 Mg
4.4154 0.0000 2.8476 Mg
1.7829 -2.6053 4.6413 Mg
7.2898 0.0000 2.7123 Mg
7.0479 -2.6053 1.0539 Mg
```

Values from the calculation:
Volume, Å³/atom: 28.45
Crystal system: monoclinic

It is two that is the least stable of them.

one:
## Ho4Tm7Mg (PBE-GGA)

Data for a geometry-optimized Ho4Tm7Mg structure.

```
Ho4Tm7Mg
1.0
6.5939 0.0000 0.0000
1.3755 6.6056 0.0000
1.7771 1.2637 8.2537
Ho Tm Mg
4 7 1
Cartesian
1.8450 2.2562 2.7385 Ho
2.8764 5.5575 2.5629 Ho
6.8702 2.3118 5.6908 Ho
7.9015 5.6131 5.5151 Ho
2.3762 2.8726 8.0900 Tm
3.7819 3.4194 5.1842 Tm
4.5768 6.7385 5.5790 Tm
3.9847 3.3028 0.0000 Tm
5.1698 1.1308 2.6747 Tm
5.9647 4.4499 3.0695 Tm
7.3703 4.9967 0.1637 Tm
3.2970 0.0000 0.0000 Mg
```

Values from the calculation:
Volume, Å³/atom: 29.96
Crystal system: triclinic

two:
## Ho4Tm7Mg (PBE-GGA)

Data for a geometry-optimized Ho4Tm7Mg structure.

```
Ho4Tm7Mg
1.0
3.4967 0.0000 0.0000
-1.7483 3.0282 0.0000
0.0000 0.0000 33.8843
Ho Tm Mg
4 7 1
Cartesian
0.0000 2.0188 5.5119 Ho
0.0000 2.0188 14.0790 Ho
1.7483 1.0094 19.8053 Ho
1.7483 1.0094 28.3724 Ho
0.0000 0.0000 8.3708 Tm
0.0000 0.0000 16.9421 Tm
0.0000 0.0000 25.5135 Tm
0.0000 2.0188 22.6684 Tm
0.0000 2.0188 31.2177 Tm
1.7483 1.0094 2.6666 Tm
1.7483 1.0094 11.2159 Tm
0.0000 0.0000 0.0000 Mg
```

Values from the calculation:
Volume, Å³/atom: 29.90
Crystal system: trigonal

It is one that is the least stable of them.